Entry from Alexandria via LeMat-Bulk: an optimized crystal structure of SrSbIr2Pt (PBE).

abc: 5.0425 5.0425 5.0363
angles: 90.00 90.00 90.00
Fractional positions:
Sr 0.0000 0.0000 0.0000
Sb 0.5000 0.5000 0.0000
Ir 0.0000 0.5000 0.5000
Ir 0.5000 0.0000 0.5000
Pt 0.5000 0.5000 0.5000

Output
**ΔE_f (raw)**: 0.6876 eV/atom
**Theoretical density**: 10.23 g/cm³